TeSe2 | PBE | relaxed

```
6
Lattice="0.0000 4.1165 4.1165 4.1165 0.0000 4.1165 4.1165 4.1165 0.0000" Properties=species:S:1:pos:R:3 pbc="T T T"
Se 1.0291 1.0291 1.0291
Se 3.0874 3.0874 1.0291
Te 6.1748 6.1748 6.1748
Se 3.0874 1.0291 3.0874
Te 4.1165 4.1165 4.1165
Se 1.0291 3.0874 3.0874
```

Results
The value obtained for the energy above the most stable polymorph in this dataset is 700 meV per atom. The density of states at the Fermi level is 0.688 states/eV/atom. As for the formation energy from raw total energies: 0.685 eV/atom. For the volume, the calculation gives 139.5 Å³/cell. The raw total energy comes out at -16.11 eV for the cell shown.